Below is a geometry-optimized Rb3Er3SnTe8 structure, with properties calculated at the GGA-PBE level.

Output
DOS(E_F): 3.81 states/eV/cell
total DFT energy (no corrections): -4.14 eV/atom
theoretical density: 5.3 g cm⁻³
formation energy from raw total energies: -16.4 eV/f.u.

```
15
Lattice="8.8087 -0.0008 0.0002 -4.4051 7.6463 -0.0369 0.0006 -5.0649 8.8110" Properties=species:S:1:pos:R:3 pbc="T T T"
Er 4.4047 -2.5329 4.4056
Er -2.2022 1.2907 4.3871
Er 2.2021 1.2903 4.3872
Te 6.6203 -1.2731 2.6908
Te -0.0001 2.5590 2.6402
Te 0.0002 0.0092 6.1035
Te 4.4043 0.0216 6.1341
Te 4.4040 2.5713 2.6709
Te 2.1882 -1.2730 2.6911
Te 2.2161 3.8536 6.0833
Te -2.2160 3.8537 6.0836
Sn 0.0003 -2.5324 4.4055
Rb 2.2018 3.8227 -0.0183
Rb 0.0000 0.0000 0.0000
Rb -2.2025 3.8231 -0.0184
```